[1]
First-principles (PBE) data for a geometry-optimized Zr2TlHRh structure, as listed in Alexandria.

Cell: 4.4702 4.4702 4.1053 Å, 90.00 90.00 90.00°
With the nearest neighbours (Å) after each atom.
Element x y z (fractional)
Zr 0.0000 0.5000 0.0000  2 H 2.24
Zr 0.5000 0.0000 0.0000  2 H 2.24
Tl 0.0000 0.0000 0.5000  8 Zr 3.03, 4 Rh 3.16
H 0.5000 0.5000 0.0000  2 Rh 2.05, 4 Zr 2.24
Rh 0.5000 0.5000 0.5000  2 H 2.05

Values from the calculation:
Space group: No. 123



[2]
First-principles (PBE) data for a geometry-optimized SmHo4Cd3 structure, as listed in Alexandria.

Cell: 9.5213 9.5213 9.5213 Å, 32.46 32.46 32.46°
With the nearest neighbours (Å) after each atom.
Element x y z (fractional)
Sm 0.0000 0.0000 0.0000  8 Ho 3.40-3.52, 6 Cd 3.68
Ho 0.1302 0.1302 0.1302  7 Cd 3.23-3.47, 1 Sm 3.52
Ho 0.3868 0.3868 0.3868  4 Cd 3.06-3.13, 3 Sm 3.40
Ho 0.6132 0.6132 0.6132  4 Cd 3.06-3.13, 3 Sm 3.40
Ho 0.8698 0.8698 0.8698  7 Cd 3.23-3.47, 1 Sm 3.52
Cd 0.2586 0.2586 0.2586  8 Ho 3.13-3.47
Cd 0.5000 0.5000 0.5000  8 Ho 3.06-3.23
Cd 0.7414 0.7414 0.7414  8 Ho 3.13-3.47

Values from the calculation:
Space group: No. 166



Number 1: raw total energy -6.363 eV/atom. Number 2: raw total energy -3.382 eV/atom.